Entry from Alexandria via LeMat-Bulk: a geometry-optimized Tb2Pr3NdTe6 structure (PBE-GGA).

abc: 10.016 10.016 9.026
angles: 103.39 103.39 25.59
Atoms (fractional coordinates):
Tb 0.165 0.165 0.331
Tb 0.835 0.835 0.669
Pr 0.163 0.163 0.832
Pr 0.500 0.500 0.500
Pr 0.837 0.837 0.168
Nd 0.500 0.500 0.000
Te 0.004 0.004 0.251
Te 0.330 0.330 0.424
Te 0.332 0.332 0.908
Te 0.668 0.668 0.092
Te 0.670 0.670 0.576
Te 0.996 0.996 0.749

Summary:
ΔE_f (raw)   -1.40 eV/atom
Space-group type   C2/m (12)

***

Entry from Alexandria via LeMat-Bulk: a geometry-optimized Na2CaTl2Cd2 structure (PBE-GGA).

abc: 8.900 8.900 8.900
angles: 33.78 33.78 33.78
Atoms (fractional coordinates):
Na 0.137 0.137 0.137
Na 0.863 0.863 0.863
Ca 0.000 0.000 0.000
Tl 0.402 0.402 0.402
Tl 0.598 0.598 0.598
Cd 0.268 0.268 0.268
Cd 0.732 0.732 0.732

Summary:
Formation enthalpy at 0 K   -188 meV/atom
Space-group type   R-3m (166)

***

Entry from Alexandria via LeMat-Bulk: a geometry-optimized NaSnN2O structure (PBE-GGA).

abc: 4.327 4.327 4.204
angles: 90.00 90.00 90.00
Atoms (fractional coordinates):
Na 0.000 0.000 0.000
Sn 0.500 0.500 0.500
N 0.000 0.500 0.000
N 0.500 0.000 0.000
O 0.000 0.000 0.500

Summary:
ΔE_f (raw)   1.49 eV/atom
Space-group type   P4/mmm (123)

***

Entry from Alexandria via LeMat-Bulk: a geometry-optimized Co2HgTe structure (PBE-GGA).

abc: 3.952 3.952 15.404
angles: 90.00 90.00 120.00
Atoms (fractional coordinates):
Co 0.000 0.000 0.229
Co 0.000 0.000 0.771
Co 0.333 0.667 0.438
Co 0.333 0.667 0.896
Co 0.667 0.333 0.104
Co 0.667 0.333 0.562
Hg 0.000 0.000 0.000
Hg 0.333 0.667 0.667
Hg 0.667 0.333 0.333
Te 0.000 0.000 0.500
Te 0.333 0.667 0.167
Te 0.667 0.333 0.833

Summary:
ΔE_f (raw)   0.41 eV/atom
Space-group type   R-3m (166)
Excess energy over the best structure of this formula in the dataset   129.5 meV/atom

***

Entry from Alexandria via LeMat-Bulk: a geometry-optimized TiCoSb structure (PBE-GGA).

abc: 7.215 7.215 7.215
angles: 97.82 97.82 136.71
Atoms (fractional coordinates):
Ti 0.000 0.229 0.229
Ti 0.000 0.771 0.771
Ti 0.229 0.000 0.229
Ti 0.771 0.000 0.771
Co 0.247 0.247 0.494
Co 0.247 0.753 0.000
Co 0.753 0.247 0.000
Co 0.753 0.753 0.506
Sb 0.176 0.500 0.676
Sb 0.500 0.176 0.676
Sb 0.500 0.824 0.324
Sb 0.824 0.500 0.324

Summary:
ΔE_f (raw)   0.30 eV/atom
Space-group type   I4/mmm (139)

***

Entry from Alexandria via LeMat-Bulk: a geometry-optimized MnHgRu2 structure (PBE-GGA).

abc: 2.853 2.853 26.976
angles: 90.00 90.00 120.00
Atoms (fractional coordinates):
Mn 0.000 0.000 0.000
Mn 0.333 0.667 0.667
Mn 0.667 0.333 0.333
Hg 0.000 0.000 0.244
Hg 0.333 0.667 0.911
Hg 0.667 0.333 0.578
Ru 0.000 0.000 0.486
Ru 0.000 0.000 0.745
Ru 0.333 0.667 0.152
Ru 0.333 0.667 0.411
Ru 0.667 0.333 0.078
Ru 0.667 0.333 0.819

Summary:
Formation enthalpy at 0 K   385 meV/atom
Space-group type   R3m (160)

***

Entry from Alexandria via LeMat-Bulk: a geometry-optimized Tb3Ga11 structure (PBE-GGA).

abc: 8.418 8.418 8.418
angles: 150.89 106.92 80.52
Atoms (fractional coordinates):
Tb 0.000 0.000 0.000
Tb 0.323 0.323 0.000
Tb 0.677 0.677 0.000
Ga 0.040 0.665 0.376
Ga 0.128 0.856 0.273
Ga 0.283 0.500 0.783
Ga 0.289 0.665 0.624
Ga 0.417 0.144 0.273
Ga 0.500 0.000 0.500
Ga 0.583 0.856 0.727
Ga 0.711 0.335 0.376
Ga 0.717 0.500 0.217
Ga 0.872 0.144 0.727
Ga 0.960 0.335 0.624

Summary:
Formation enthalpy at 0 K   -437 meV/atom
Space-group type   Immm (71)

***

Entry from Alexandria via LeMat-Bulk: a geometry-optimized Ti2MnIr structure (PBE-GGA).

abc: 6.088 6.088 6.088
angles: 90.00 90.00 90.00
Atoms (fractional coordinates):
Ti 0.250 0.250 0.250
Ti 0.250 0.250 0.750
Ti 0.250 0.750 0.250
Ti 0.250 0.750 0.750
Ti 0.750 0.250 0.250
Ti 0.750 0.250 0.750
Ti 0.750 0.750 0.250
Ti 0.750 0.750 0.750
Mn 0.000 0.000 0.000
Mn 0.000 0.500 0.500
Mn 0.500 0.000 0.500
Mn 0.500 0.500 0.000
Ir 0.000 0.000 0.500
Ir 0.000 0.500 0.000
Ir 0.500 0.000 0.000
Ir 0.500 0.500 0.500

Summary:
Formation enthalpy at 0 K   -689 meV/atom
Space-group type   Fm-3m (225)
Excess energy over the best structure of this formula in the dataset   0.0 meV/atom